# 1
9
Lattice="5.2549 0.0000 0.0000 0.0000 8.1916 0.6945 -2.6274 -3.1046 7.2055" Properties=species:S:1:pos:R:3 comment="La4Pr3Y2 | the Alexandria database | GGA-PBE | optimized geometry" e_above_lowest_polymorph_ev_per_atom=0.002 energy_ev_per_cell=-46.819 formation_enthalpy_0k_ev_per_atom=0.017 dos_at_fermi_per_ev_atom=1.810 pbc="T T T"
La 0.0000 2.7173 6.8729
La 2.6274 3.7470 4.4563
La 0.0000 1.3400 3.4438
La 2.6274 2.3698 1.0272
Pr 0.0000 4.7813 2.0763
Pr 2.6274 0.3057 5.8238
Pr 0.0000 0.0000 0.0000
Y 2.6274 7.1433 3.1114
Y 0.0000 -2.0563 4.7887


# 2
7
Lattice="3.6054 0.0000 0.0000 1.8027 3.1224 0.0000 1.8027 1.0408 21.4256" Properties=species:S:1:pos:R:3 comment="LaPr2Y4 | the Alexandria database | GGA-PBE | optimized geometry" e_above_lowest_polymorph_ev_per_atom=0.000 energy_ev_per_cell=-39.732 formation_enthalpy_0k_ev_per_atom=0.087 dos_at_fermi_per_ev_atom=1.600 pbc="T T T"
Y 5.4081 3.1224 9.2559
Y 1.8027 1.0408 12.1697
Y 5.4081 3.1224 18.5203
Y 1.8027 1.0408 2.9053
Pr 1.8027 1.0408 6.3653
Pr 5.4081 3.1224 15.0603
La 0.0000 0.0000 0.0000


# 3
18
Lattice="-1.8934 -12.7323 -8.9838 3.1574 -10.6490 0.6914 -4.4565 -1.1543 2.5749" Properties=species:S:1:pos:R:3 comment="La12Pr5Y | the Alexandria database | GGA-PBE | optimized geometry" energy_ev_per_cell=-89.319 formation_enthalpy_0k_ev_per_atom=0.010 dos_at_fermi_per_ev_atom=1.825 pbc="T T T"
La 0.6145 -13.3407 0.4856
La -1.2648 -8.5064 -6.0010
La 1.4767 -11.3388 -2.5260
La -1.0665 -14.0397 -2.7357
La -0.8435 -16.2699 -8.7518
La -4.6692 -13.1968 -3.1916
La -1.7001 -18.2943 -5.7403
La -3.8069 -11.1949 -6.2031
La -1.4923 -6.2413 0.0228
La -1.9276 -16.0292 0.2834
La -2.1260 -10.4959 -2.9819
La -2.3489 -8.2657 3.0343
Y 0.0000 -0.0001 0.0000
Pr -3.1749 -6.9433 -3.2045
Pr 0.8428 -15.5875 -5.5280
Pr -2.7565 -14.7342 -5.9723
Pr -0.4359 -9.8014 0.2548
Pr 0.4212 -7.7938 -2.7644


# 4
4
Lattice="3.6643 0.0000 0.0000 1.8321 3.1734 0.0000 1.8321 1.0578 11.8155" Properties=species:S:1:pos:R:3 comment="LaPrY2 | the Alexandria database | GGA-PBE | optimized geometry" e_above_lowest_polymorph_ev_per_atom=0.009 energy_ev_per_cell=-22.570 formation_enthalpy_0k_ev_per_atom=0.016 dos_at_fermi_per_ev_atom=1.558 pbc="T T T"
Pr 3.6643 2.1156 5.8902
Y 1.8321 1.0578 2.9508
Y 1.8321 1.0578 8.8778
La 3.6643 2.1156 0.0045


# 5
13
Lattice="5.8059 0.0000 0.7422 0.0000 7.7682 0.0000 -1.3339 -3.8841 10.4035" Properties=species:S:1:pos:R:3 comment="La8Pr2Y3 | the Alexandria database | GGA-PBE | optimized geometry" e_above_lowest_polymorph_ev_per_atom=0.027 energy_ev_per_cell=-66.168 formation_enthalpy_0k_ev_per_atom=0.169 dos_at_fermi_per_ev_atom=1.378 pbc="T T T"
La 1.8461 -1.5513 8.6244
La -0.9794 3.8841 7.6667
La -0.4591 3.8841 3.5903
La 2.6258 2.3328 2.5212
La 4.9311 0.0000 7.5554
La 2.6258 5.4354 2.5212
La 5.4513 0.0000 3.4790
La 1.8461 1.5513 8.6244
Y 0.0000 5.5856 0.0000
Y 2.9029 0.0000 0.3711
Y 0.0000 2.1826 0.0000
Pr 2.2575 0.0000 5.3807
Pr 2.2144 3.8841 5.7650


# 6
4
Lattice="-0.2615 0.4240 -3.6393 0.9771 -3.5083 -0.4789 -8.5908 -2.4381 0.3333" Properties=species:S:1:pos:R:3 comment="LaPrYZn | the Alexandria database | GGA-PBE | optimized geometry" energy_ev_per_cell=-18.073 formation_enthalpy_0k_ev_per_atom=-0.157 dos_at_fermi_per_ev_atom=1.260 pbc="T T T"
Y -2.8175 -2.4433 -1.9359
La -6.3342 -3.4414 -1.7994
Zn -4.7537 -1.3491 0.1845
Pr -0.7112 -0.2018 0.0276


# 7
20
Lattice="5.4978 0.0000 -0.0503 0.0000 10.6363 0.0000 0.1093 0.0000 12.0487" Properties=species:S:1:pos:R:3 comment="La6Pr3Zn | the Alexandria database | GGA-PBE | optimized geometry" energy_ev_per_cell=-89.790 formation_enthalpy_0k_ev_per_atom=0.028 dos_at_fermi_per_ev_atom=1.378 pbc="T T T"
La 2.8299 6.1050 8.9207
La 2.8162 2.3913 7.3952
La 5.5242 9.8495 2.8712
La 2.7563 8.9192 0.8436
La 5.5943 7.7094 10.6025
La 0.0472 3.6010 5.1556
La 5.5598 7.0352 6.8428
La 0.0829 0.7868 9.1273
La 2.7771 4.5313 3.0778
La 2.8507 1.7171 11.1548
La 2.7908 8.2450 4.6033
La 0.0127 2.9268 1.3960
Zn 2.8035 5.3181 5.9992
Zn 0.0000 0.0000 0.0000
Pr 2.7809 1.2408 3.4653
Pr 0.0546 0.0000 6.0244
Pr 5.5204 6.5590 2.4837
Pr 2.8262 9.3954 8.5332
Pr 2.7489 5.3181 -0.0251
Pr 0.0866 4.0773 9.5147


# 8
6
Lattice="5.2709 0.0000 0.0000 -2.6355 4.5648 0.0000 0.0000 0.0000 6.4630" Properties=species:S:1:pos:R:3 comment="LaPr2Zn3 | the Alexandria database | GGA-PBE | optimized geometry" e_above_lowest_polymorph_ev_per_atom=0.000 energy_ev_per_cell=-20.140 formation_enthalpy_0k_ev_per_atom=-0.305 dos_at_fermi_per_ev_atom=1.002 pbc="T T T"
La 0.0000 0.0000 0.0000
Zn 0.0000 3.0432 1.0911
Zn 0.0000 0.0000 3.2315
Zn 2.6355 1.5216 5.3719
Pr 2.6355 1.5216 2.1614
Pr 0.0000 3.0432 4.3016


# 9
14
Lattice="-2.1073 1.2525 -7.8555 -6.6619 -0.0431 4.8307 5.0981 6.1003 2.1245" Properties=species:S:1:pos:R:3 comment="La4PrZn2 | the Alexandria database | GGA-PBE | optimized geometry" energy_ev_per_cell=-54.247 formation_enthalpy_0k_ev_per_atom=-0.012 dos_at_fermi_per_ev_atom=1.343 pbc="T T T"
Zn -0.0793 3.9536 -5.4223
Zn -2.8441 5.1942 3.0893
Zn -3.7824 1.0114 1.4143
Zn -0.6363 4.4601 -0.8818
La -4.3874 2.6170 4.0607
La -0.3540 2.0614 -2.9100
La -3.6525 3.8528 0.0443
La -1.0335 2.6540 1.6770
La -6.1687 0.7795 -1.0305
La -2.2124 5.7008 -3.3918
La 1.0517 6.0882 -2.9954
La 2.0725 5.4851 0.9449
Pr -3.6369 2.4429 -2.9451
Pr 0.0000 0.0000 0.0000


# 10
18
Lattice="5.3341 0.0000 0.0000 0.0000 9.7747 0.0000 0.0000 0.0000 9.7747" Properties=species:S:1:pos:R:3 comment="LaPr4Zn4 | the Alexandria database | GGA-PBE | optimized geometry" energy_ev_per_cell=-60.781 formation_enthalpy_0k_ev_per_atom=-0.139 dos_at_fermi_per_ev_atom=1.049 pbc="T T T"
Zn 0.0004 5.6162 3.1524
Zn 2.6675 8.0397 9.0458
Zn 5.3337 6.6223 5.6162
Zn 2.6666 9.0458 1.7349
Zn 0.0004 4.1584 6.6223
Zn 2.6675 1.7349 0.7289
Zn 2.6666 0.7289 8.0397
Zn 5.3337 3.1524 4.1584
Pr 2.6674 3.8262 8.2378
Pr 5.3338 8.7136 3.3505
Pr 5.3338 1.0611 6.4242
Pr 0.0004 6.4242 8.7136
Pr 0.0004 3.3505 1.0611
Pr 2.6667 8.2378 5.9485
Pr 2.6674 5.9485 1.5368
Pr 2.6667 1.5368 3.8262
La 2.6671 4.8873 4.8873
La 0.0000 0.0000 0.0000